(a)
VASP calculation (PBEsol) on a geometry-optimized Ca4Al6MoO16 structure.

```
data_Ca4Al6MoO16
_space_group_name_H-M_alt 'I -4'
_space_group_IT_number 82
_space_group_name_Hall 'I -4'
_cell_length_a 9.259
_cell_length_b 9.259
_cell_length_c 9.468
_cell_angle_alpha 90.00
_cell_angle_beta 90.00
_cell_angle_gamma 90.00
loop_
_atom_site_label
_atom_site_type_symbol
_atom_site_fract_x
_atom_site_fract_y
_atom_site_fract_z
Ca1 Ca 0.212 0.248 0.233
Al1 Al 0.000 0.500 0.250
Al2 Al 0.000 0.500 0.750
Al3 Al 0.015 0.252 0.506
Mo1 Mo 0.000 0.000 0.000
O1 O 0.018 0.658 0.346
O2 O 0.024 0.153 0.108
O3 O 0.070 0.350 0.656
O4 O 0.149 0.833 0.544
```

Results
For the total magnetization, the calculation gives 0.00 μB/f.u.


(b)
VASP calculation (PBEsol) on a geometry-optimized Ca4Al6MoO16 structure.

```
data_Ca4Al6MoO16
_space_group_name_H-M_alt 'A e a 2'
_space_group_IT_number 41
_space_group_name_Hall 'A 2 -2ab'
_cell_length_a 26.134
_cell_length_b 13.085
_cell_length_c 9.321
_cell_angle_alpha 90.00
_cell_angle_beta 90.00
_cell_angle_gamma 90.00
loop_
_atom_site_label
_atom_site_type_symbol
_atom_site_fract_x
_atom_site_fract_y
_atom_site_fract_z
Ca1 Ca 0.018 0.232 0.000
Ca2 Ca 0.120 0.485 0.454
Ca3 Ca 0.138 0.029 0.417
Ca4 Ca 0.250 0.237 0.453
Al1 Al 0.000 0.000 0.473
Al2 Al 0.000 0.000 0.957
Al3 Al 0.059 0.135 0.706
Al4 Al 0.063 0.387 0.725
Al5 Al 0.185 0.124 0.702
Al6 Al 0.190 0.374 0.690
Al7 Al 0.243 0.496 0.445
Mo1 Mo 0.138 0.261 0.199
O1 O 0.016 0.113 0.567
O2 O 0.033 0.408 0.558
O3 O 0.046 0.261 0.768
O4 O 0.048 0.068 0.867
O5 O 0.055 0.468 0.873
O6 O 0.091 0.182 0.117
O7 O 0.108 0.365 0.282
O8 O 0.122 0.107 0.646
O9 O 0.126 0.415 0.683
O10 O 0.171 0.186 0.329
O11 O 0.180 0.306 0.068
O12 O 0.194 0.076 0.877
O13 O 0.209 0.248 0.723
O14 O 0.209 0.392 0.510
O15 O 0.212 0.454 0.823
O16 O 0.220 0.076 0.557
```

Results
For the total magnetization, the calculation gives 0.00 μB/f.u.


On energetic grounds, (b) is preferred over the next structure by 6 meV per atom.


(a)
VASP calculation (PBEsol) on a geometry-optimized Na3CaAl3Si3SO16 structure.

```
data_Na3CaAl3Si3SO16
_space_group_name_H-M_alt 'P 1'
_space_group_IT_number 1
_space_group_name_Hall 'P 1'
_cell_length_a 7.774
_cell_length_b 7.808
_cell_length_c 7.834
_cell_angle_alpha 109.36
_cell_angle_beta 108.39
_cell_angle_gamma 110.39
loop_
_atom_site_label
_atom_site_type_symbol
_atom_site_fract_x
_atom_site_fract_y
_atom_site_fract_z
Na1 Na 0.000 0.000 0.000
Na2 Na 0.007 0.619 0.393
Na3 Na 0.625 0.238 0.627
Ca1 Ca 0.371 0.590 0.006
Al1 Al 0.247 0.111 0.758
Al2 Al 0.504 0.364 0.252
Al3 Al 0.758 0.116 0.251
Si1 Si 0.262 0.361 0.505
Si2 Si 0.502 0.857 0.755
Si3 Si 0.747 0.868 0.501
S1 S 0.035 0.634 0.995
O1 O 0.024 0.210 0.314
O2 O 0.160 0.645 0.192
O3 O 0.178 0.812 0.985
O4 O 0.292 0.247 0.007
O5 O 0.304 0.319 0.700
O6 O 0.312 0.609 0.603
O7 O 0.406 0.004 0.720
O8 O 0.423 0.330 0.428
O9 O 0.595 0.629 0.310
O10 O 0.603 0.897 0.991
O11 O 0.691 0.903 0.693
O12 O 0.699 0.012 0.406
O13 O 0.708 0.318 0.278
O14 O 0.843 0.640 0.980
O15 O 0.984 0.435 0.822
O16 O 0.985 0.912 0.592
```

Results
For the total magnetization, the calculation gives 0.04 μB/f.u.


(b)
VASP calculation (PBEsol) on a geometry-optimized Na3CaAl3Si3SO16 structure.

```
data_Na3CaAl3Si3SO16
_space_group_name_H-M_alt 'R 3 c'
_space_group_IT_number 161
_space_group_name_Hall 'R 3 -2"c'
_cell_length_a 12.8124
_cell_length_b 12.8124
_cell_length_c 15.4894
_cell_angle_alpha 90.00
_cell_angle_beta 90.00
_cell_angle_gamma 120.00
loop_
_atom_site_label
_atom_site_type_symbol
_atom_site_fract_x
_atom_site_fract_y
_atom_site_fract_z
Na1 Na 0.0801 0.5392 0.0000
Ca1 Ca 0.0000 0.0000 0.0774
Al1 Al 0.0839 0.4157 0.1846
Si1 Si 0.9999 0.2469 0.0178
S1 S 0.0000 0.0000 0.2535
O1 O 0.0000 0.0000 0.3486
O2 O 0.0418 0.3639 0.0793
O3 O 0.0468 0.3735 0.5857
O4 O 0.0610 0.1249 0.2169
O5 O 0.0948 0.1959 0.0170
O6 O 0.1992 0.4079 0.7218
```

Results
For the total magnetization, the calculation gives 0.05 μB/f.u.


On energetic grounds, (b) is preferred over the next structure by 20 meV per atom.


(a)
VASP calculation (PBEsol) on a geometry-optimized Ca4Al6SO16 structure.

```
data_Ca4Al6SO16
_space_group_name_H-M_alt 'P c c 2'
_space_group_IT_number 27
_space_group_name_Hall 'P 2 -2c'
_cell_length_a 12.993
_cell_length_b 13.144
_cell_length_c 9.168
_cell_angle_alpha 90.00
_cell_angle_beta 90.00
_cell_angle_gamma 90.00
loop_
_atom_site_label
_atom_site_type_symbol
_atom_site_fract_x
_atom_site_fract_y
_atom_site_fract_z
Ca1 Ca 0.007 0.245 0.074
Ca2 Ca 0.242 0.027 0.596
Ca3 Ca 0.246 0.435 0.645
Ca4 Ca 0.440 0.250 0.000
Al1 Al 0.000 0.000 0.082
Al2 Al 0.000 0.500 0.100
Al3 Al 0.128 0.378 0.345
Al4 Al 0.131 0.131 0.331
Al5 Al 0.379 0.378 0.322
Al6 Al 0.381 0.130 0.303
Al7 Al 0.500 0.000 0.049
Al8 Al 0.500 0.500 0.074
S1 S 0.221 0.236 0.824
O1 O 0.052 0.400 0.500
O2 O 0.070 0.095 0.493
O3 O 0.089 0.255 0.298
O4 O 0.098 0.063 0.175
O5 O 0.109 0.461 0.199
O6 O 0.156 0.273 0.700
O7 O 0.164 0.237 0.962
O8 O 0.256 0.395 0.402
O9 O 0.258 0.104 0.371
O10 O 0.260 0.132 0.796
O11 O 0.311 0.308 0.833
O12 O 0.390 0.467 0.179
O13 O 0.394 0.052 0.146
O14 O 0.403 0.256 0.244
O15 O 0.465 0.108 0.448
O16 O 0.466 0.392 0.468
```

Results
For the total magnetization, the calculation gives 0.00 μB/f.u.


(b)
VASP calculation (PBEsol) on a geometry-optimized Ca4Al6SO16 structure.

```
data_Ca4Al6SO16
_space_group_name_H-M_alt 'I -4 3 m'
_space_group_IT_number 217
_space_group_name_Hall 'I -4 2 3'
_cell_length_a 9.088
_cell_length_b 9.088
_cell_length_c 9.088
_cell_angle_alpha 90.00
_cell_angle_beta 90.00
_cell_angle_gamma 90.00
loop_
_atom_site_label
_atom_site_type_symbol
_atom_site_fract_x
_atom_site_fract_y
_atom_site_fract_z
Ca1 Ca 0.186 0.186 0.186
Al1 Al 0.000 0.250 0.500
S1 S 0.000 0.000 0.000
O1 O 0.073 0.354 0.646
O2 O 0.095 0.095 0.905
```

Results
For the total magnetization, the calculation gives 0.00 μB/f.u.


(c)
VASP calculation (PBEsol) on a geometry-optimized Ca4Al6SO16 structure.

```
data_Ca4Al6SO16
_space_group_name_H-M_alt 'I -4'
_space_group_IT_number 82
_space_group_name_Hall 'I -4'
_cell_length_a 9.239
_cell_length_b 9.239
_cell_length_c 9.319
_cell_angle_alpha 90.00
_cell_angle_beta 90.00
_cell_angle_gamma 90.00
loop_
_atom_site_label
_atom_site_type_symbol
_atom_site_fract_x
_atom_site_fract_y
_atom_site_fract_z
Ca1 Ca 0.202 0.270 0.467
Al1 Al 0.000 0.000 0.000
Al2 Al 0.000 0.000 0.500
Al3 Al 0.013 0.249 0.754
S1 S 0.000 0.500 0.250
O1 O 0.015 0.369 0.342
O2 O 0.031 0.840 0.594
O3 O 0.072 0.148 0.902
O4 O 0.148 0.663 0.802
```

Results
For the total magnetization, the calculation gives 0.00 μB/f.u.


On energetic grounds, (a) is preferred over the next structure by 6 meV per atom.


(a)
VASP calculation (PBEsol) on a geometry-optimized CaAlRe structure.

```
data_CaAlRe
_space_group_name_H-M_alt 'I m m 2'
_space_group_IT_number 44
_space_group_name_Hall 'I 2 -2'
_cell_length_a 2.816
_cell_length_b 4.038
_cell_length_c 10.250
_cell_angle_alpha 90.00
_cell_angle_beta 90.00
_cell_angle_gamma 90.00
loop_
_atom_site_label
_atom_site_type_symbol
_atom_site_fract_x
_atom_site_fract_y
_atom_site_fract_z
Ca1 Ca 0.000 0.000 0.000
Al1 Al 0.000 0.000 0.718
Re1 Re 0.000 0.000 0.296
```

Results
For the total magnetization, the calculation gives 0.00 μB/f.u.


(b)
VASP calculation (PBEsol) on a geometry-optimized CaAlRe structure.

```
data_CaAlRe
_space_group_name_H-M_alt 'I 4 m m'
_space_group_IT_number 107
_space_group_name_Hall 'I 4 -2'
_cell_length_a 2.838
_cell_length_b 2.838
_cell_length_c 13.546
_cell_angle_alpha 90.00
_cell_angle_beta 90.00
_cell_angle_gamma 90.00
loop_
_atom_site_label
_atom_site_type_symbol
_atom_site_fract_x
_atom_site_fract_y
_atom_site_fract_z
Ca1 Ca 0.000 0.000 0.000
Al1 Al 0.000 0.000 0.312
Re1 Re 0.000 0.000 0.679
```

Results
For the total magnetization, the calculation gives 0.00 μB/f.u.


On energetic grounds, (a) is preferred over the next structure by 68 meV per atom.